# 1
Computed, not measured: crystalline NdSmDyY3 at its relaxed geometry at the PBE level of DFT.

a = 5.0820 Å, b = 15.2576 Å, c = 10.1688 Å
α = 90.00°, β = 90.00°, γ = 90.00°
With the nearest neighbours (Å) after each atom.
Space group Cmcm (No. 63)
Asymmetric unit:
Nd (0.0000, 0.0000, 0.0000) [4 per cell]  4 Sm 3.59, 2 Dy 3.60, 6 Y 3.60
Sm (0.0000, 0.4993, 0.2500) [4 per cell]  2 Dy 3.59, 4 Nd 3.59, 6 Y 3.60-3.61
Dy (0.0000, 0.1670, 0.7500) [4 per cell]  8 Y 3.58-3.59, 2 Sm 3.59, 2 Nd 3.60
Y (0.0000, 0.1675, 0.2500) [4 per cell]  6 Y 3.58-3.60, 2 Dy 3.58, 2 Nd 3.60, 2 Sm 3.61
Y (0.0000, 0.3326, 0.0001) [8 per cell]  5 Y 3.58-3.60, 3 Dy 3.58-3.59, 2 Sm 3.60-3.61, 2 Nd 3.60

**Energy of formation**: 0.0200 eV per atom

=====

# 2
Computed, not measured: crystalline Si2SnRhO at its relaxed geometry at the PBE level of DFT.

a = 3.2734 Å, b = 4.5276 Å, c = 6.1216 Å
α = 74.85°, β = 87.58°, γ = 76.01°
With the nearest neighbours (Å) after each atom.
Space group P1 (No. 1)
Asymmetric unit:
Si (0.0000, 0.0000, 0.0000) [1 per cell]  1 O 1.72
Si (0.1896, 0.3852, 0.2234) [1 per cell]  1 O 1.85
Sn (0.9853, 0.8155, 0.6293) [1 per cell]  1 O 2.30
Rh (0.5312, 0.7852, 0.2823) [1 per cell]  5 Si 2.35-2.61
O (0.0539, 0.3823, 0.9344) [1 per cell]  2 Si 1.72-1.85

**E_form (uncorrected)**: -0.695 eV per atom

=====

# 3
Computed, not measured: crystalline Sc2TaRe at its relaxed geometry at the PBE level of DFT.

a = 3.2892 Å, b = 4.7717 Å, c = 9.4876 Å
α = 90.00°, β = 90.00°, γ = 90.00°
With the nearest neighbours (Å) after each atom.
Space group Cmmm (No. 65)
Asymmetric unit:
Sc (0.0000, 0.0000, 0.2294) [4 per cell]  2 Re 2.73, 4 Sc 2.90, 2 Ta 3.05
Ta (0.0000, 0.5000, 0.5000) [2 per cell]  4 Ta 2.90, 4 Sc 3.05
Re (0.0000, 0.5000, 0.0000) [2 per cell]  4 Sc 2.73, 4 Re 2.90

**Energy of formation**: 0.1480 eV per atom

=====

# 4
Computed, not measured: crystalline La3ScIn6 at its relaxed geometry at the PBE level of DFT.

a = 12.7325 Å, b = 12.7325 Å, c = 12.5314 Å
α = 90.00°, β = 90.00°, γ = 120.00°
With the nearest neighbours (Å) after each atom.
Space group R-3c (No. 167, hexagonal axes)
Asymmetric unit:
La (0.0000, 0.4444, 0.2500) [18 per cell]  8 In 3.29-3.67
Sc (0.0000, 0.0000, 0.0000) [6 per cell]  6 In 3.02
In (0.0771, 0.2028, 0.3401) [36 per cell]  2 In 2.83-2.95, 1 Sc 3.02

**Energy of formation**: -0.4365 eV per atom

=====

# 5
Computed, not measured: crystalline ScInRe2Se at its relaxed geometry at the PBE level of DFT.

a = 4.8863 Å, b = 4.8863 Å, c = 5.1457 Å
α = 90.00°, β = 90.00°, γ = 90.00°
With the nearest neighbours (Å) after each atom.
Space group P4/mmm (No. 123)
Asymmetric unit:
Sc (0.0000, 0.0000, 0.0000) [1 per cell]  2 In 2.57
In (0.0000, 0.0000, 0.5000) [1 per cell]  4 Re 2.44, 2 Sc 2.57
Re (0.0000, 0.5000, 0.5000) [2 per cell]  2 In 2.44
Se (0.5000, 0.5000, 0.0000) [1 per cell]  4 Sc 3.46, 8 Re 3.55

**E_form (uncorrected)**: 2.072 eV per atom

=====

# 6
Computed, not measured: crystalline CaH3Pt at its relaxed geometry at the PBE level of DFT.

a = 5.0119 Å, b = 3.7477 Å, c = 6.2417 Å
α = 90.00°, β = 104.54°, γ = 90.00°
With the nearest neighbours (Å) after each atom.
Space group P2_1/m (No. 11)
Asymmetric unit:
Ca (0.1852, 0.2500, 0.2905) [2 per cell]  7 H 2.28-2.46
H (0.0569, 0.2500, 0.9078) [2 per cell]  1 Pt 1.66
H (0.3200, 0.7500, 0.7854) [2 per cell]  2 Pt 1.87
H (0.4528, 0.7500, 0.3609) [2 per cell]  1 Pt 1.66
Pt (0.3197, 0.2500, 0.7916) [2 per cell]  2 H 1.66

=====

# 7
Computed, not measured: crystalline CsGa2Mo at its relaxed geometry at the PBE level of DFT.

a = 7.2128 Å, b = 7.2128 Å, c = 7.2128 Å
α = 90.00°, β = 90.00°, γ = 90.00°
With the nearest neighbours (Å) after each atom.
Space group Fm-3m (No. 225)
Asymmetric unit:
Cs (0.0000, 0.0000, 0.0000) [4 per cell]  8 Ga 3.12
Ga (0.2500, 0.2500, 0.2500) [8 per cell]  4 Mo 3.12, 4 Cs 3.12
Mo (0.0000, 0.0000, 0.5000) [4 per cell]  8 Ga 3.12

**Energy of formation**: 1.1341 eV per atom

=====

# 8
Computed, not measured: crystalline PrEr2Tm9 at its relaxed geometry at the PBE level of DFT.

a = 11.0820 Å, b = 11.0820 Å, c = 3.4845 Å
α = 90.00°, β = 90.00°, γ = 120.00°
With the nearest neighbours (Å) after each atom.
Space group P6/mmm (No. 191)
Asymmetric unit:
Pr (0.0000, 0.0000, 0.0000) [1 per cell]  2 Pr 3.48, 12 Tm 3.86
Er (0.3333, 0.6667, 0.0000) [2 per cell]  9 Tm 3.20-3.43, 2 Er 3.48
Tm (0.0000, 0.5000, 0.0000) [3 per cell]  2 Er 3.20, 10 Tm 3.48-3.54
Tm (0.1792, 0.3584, 0.5000) [6 per cell]  2 Er 3.43, 8 Tm 3.44-3.54

**Energy of formation**: 0.0403 eV per atom

=====

# 9
Computed, not measured: crystalline UFeC2 at its relaxed geometry at the PBE level of DFT.

a = 4.1842 Å, b = 8.9703 Å, c = 4.8503 Å
α = 90.00°, β = 90.00°, γ = 90.00°
With the nearest neighbours (Å) after each atom.
Space group Cmcm (No. 63)
Asymmetric unit:
U (0.0000, 0.1657, 0.2500) [4 per cell]  8 C 2.49-2.60
Fe (0.0000, 0.5000, 0.0000) [4 per cell]  4 C 2.03
C (0.1767, 0.1014, 0.7500) [8 per cell]  1 C 1.48

**Energy of formation**: -0.1221 eV per atom

=====

# 10
Computed, not measured: crystalline AgHg2Ru at its relaxed geometry at the PBE level of DFT.

a = 6.6511 Å, b = 6.6511 Å, c = 6.6511 Å
α = 90.00°, β = 90.00°, γ = 90.00°
With the nearest neighbours (Å) after each atom.
Space group Fm-3m (No. 225)
Asymmetric unit:
Ag (0.0000, 0.0000, 0.0000) [4 per cell]  8 Hg 2.88
Hg (0.2500, 0.2500, 0.2500) [8 per cell]  4 Ru 2.88, 4 Ag 2.88
Ru (0.0000, 0.0000, 0.5000) [4 per cell]  8 Hg 2.88

**Energy of formation**: 0.4381 eV per atom

=====

# 11
Computed, not measured: crystalline SrCuP at its relaxed geometry at the PBE level of DFT.

a = 4.2425 Å, b = 4.2425 Å, c = 8.1254 Å
α = 90.00°, β = 90.00°, γ = 90.00°
With the nearest neighbours (Å) after each atom.
Space group I4mm (No. 107)
Asymmetric unit:
Sr (0.0000, 0.0000, 0.0000) [2 per cell]  5 P 2.95-3.20, 5 Cu 2.98-3.19
Cu (0.0000, 0.0000, 0.6332) [2 per cell]  1 P 2.19
P (0.0000, 0.0000, 0.3635) [2 per cell]  1 Cu 2.19

**Energy of formation**: -0.1998 eV per atom

=====

# 12
Computed, not measured: crystalline Co2Ni6Mo at its relaxed geometry at the PBE level of DFT.

a = 7.2301 Å, b = 4.8694 Å, c = 6.3378 Å
α = 90.00°, β = 108.60°, γ = 90.00°
With the nearest neighbours (Å) after each atom.
Space group C2/m (No. 12)
Asymmetric unit:
Co (0.2379, 0.0000, 0.4890) [4 per cell]  9 Ni 2.42-2.62, 2 Co 2.44
Ni (0.0534, 0.2616, 0.6985) [8 per cell]  5 Ni 2.32-2.55, 4 Co 2.42-2.53, 1 Mo 2.43
Ni (0.1696, 0.5000, 0.0762) [4 per cell]  5 Ni 2.33-2.55, 1 Mo 2.58
Mo (0.0000, 0.0000, 0.0000) [2 per cell]  10 Ni 2.43-2.70

**Energy of formation**: 0.1537 eV per atom

=====

| no. | electronic total energy (eV/atom) |
| --- | --- |
| 1 | -5.560 |
| 2 | -6.127 |
| 3 | -9.093 |
| 4 | -4.191 |
| 5 | -5.418 |
| 6 | -4.162 |
| 7 | -3.301 |
| 8 | -4.472 |
| 9 | -9.672 |
| 10 | -2.745 |
| 11 | -3.929 |
| 12 | -6.483 |